(1)
# Nd6Co2Ag (PBE-GGA, optimized geometry)
data_Nd6Co2Ag
_symmetry_space_group_name_H-M 'P 1'
_symmetry_Int_Tables_number 1
_symmetry_space_group_name_Hall 'P 1'
_cell_length_a 5.2454
_cell_length_b 5.6914
_cell_length_c 9.0092
_cell_angle_alpha 81.40
_cell_angle_beta 90.00
_cell_angle_gamma 117.44
loop_
_atom_site_label
_atom_site_type_symbol
_atom_site_fract_x
_atom_site_fract_y
_atom_site_fract_z
Nd1 Nd 0.3437 0.6874 0.3848
Co1 Co 0.6089 0.2179 0.9061
Nd2 Nd 0.9616 0.9232 0.8418
Nd3 Nd 0.2894 0.5788 0.8405
Nd4 Nd 0.7106 0.4212 0.1595
Nd5 Nd 0.0384 0.0768 0.1582
Ag1 Ag 0.0000 0.0000 0.5000
Co2 Co 0.3911 0.7821 0.0939
Nd6 Nd 0.6563 0.3126 0.6152
# Uncorrected energy: -5.108 eV per atom
# Symmetry: C2/m, No. 12
# Energy relative to the lowest polymorph listed for this composition: 1.80 kcal/mol of atoms

(2)
# Nd6Co2Ag (PBE-GGA, optimized geometry)
data_Nd6Co2Ag
_symmetry_space_group_name_H-M 'P 1'
_symmetry_Int_Tables_number 1
_symmetry_space_group_name_Hall 'P 1'
_cell_length_a 8.5946
_cell_length_b 8.5946
_cell_length_c 8.5946
_cell_angle_alpha 107.43
_cell_angle_beta 108.62
_cell_angle_gamma 112.40
loop_
_atom_site_label
_atom_site_type_symbol
_atom_site_fract_x
_atom_site_fract_y
_atom_site_fract_z
Nd1 Nd 0.8007 0.7705 0.5712
Co1 Co 0.5000 0.6132 0.1132
Nd2 Nd 0.8007 0.2295 0.0301
Co2 Co 0.3411 0.0000 0.3411
Nd3 Nd 0.6871 0.0113 0.3243
Nd4 Nd 0.1993 0.7705 0.9699
Nd5 Nd 0.1051 0.2850 0.8201
Co3 Co 0.5000 0.3868 0.8868
Nd6 Nd 0.5351 0.7150 0.8201
Ag1 Ag 0.0000 0.5000 0.5000
Co4 Co 0.6589 0.0000 0.6589
Nd7 Nd 0.3129 0.9887 0.6757
Ag2 Ag 0.0000 0.0000 0.0000
Nd8 Nd 0.6871 0.3628 0.6757
Nd9 Nd 0.8949 0.7150 0.1799
Nd10 Nd 0.1993 0.2295 0.4288
Nd11 Nd 0.4649 0.2850 0.1799
Nd12 Nd 0.3129 0.6372 0.3243
# Uncorrected energy: -5.186 eV per atom
# Symmetry: Immm, No. 71
# Energy relative to the lowest polymorph listed for this composition: 0.00 kcal/mol of atoms

(3)
# Nd5CoAg4 (PBE-GGA, optimized geometry)
data_Nd5CoAg4
_symmetry_space_group_name_H-M 'P 1'
_symmetry_Int_Tables_number 1
_symmetry_space_group_name_Hall 'P 1'
_cell_length_a 3.6368
_cell_length_b 3.6368
_cell_length_c 19.1579
_cell_angle_alpha 90.00
_cell_angle_beta 90.00
_cell_angle_gamma 90.00
loop_
_atom_site_label
_atom_site_type_symbol
_atom_site_fract_x
_atom_site_fract_y
_atom_site_fract_z
Ag1 Ag 0.0000 0.0000 0.1927
Nd1 Nd 0.5000 0.5000 0.7053
Nd2 Nd 0.5000 0.5000 0.0875
Nd3 Nd 0.5000 0.5000 0.2947
Nd4 Nd 0.5000 0.5000 0.9125
Ag2 Ag 0.0000 0.0000 0.8073
Ag3 Ag 0.0000 0.0000 0.3976
Nd5 Nd 0.5000 0.5000 0.5000
Co1 Co 0.0000 0.0000 0.0000
Ag4 Ag 0.0000 0.0000 0.6024
# Uncorrected energy: -4.425 eV per atom
# Symmetry: P4/mmm, No. 123

(4)
# Nd2CoAg (PBE-GGA, optimized geometry)
data_Nd2CoAg
_symmetry_space_group_name_H-M 'P 1'
_symmetry_Int_Tables_number 1
_symmetry_space_group_name_Hall 'P 1'
_cell_length_a 3.9791
_cell_length_b 3.9791
_cell_length_c 7.9794
_cell_angle_alpha 75.56
_cell_angle_beta 75.56
_cell_angle_gamma 60.00
loop_
_atom_site_label
_atom_site_type_symbol
_atom_site_fract_x
_atom_site_fract_y
_atom_site_fract_z
Ag1 Ag 0.5000 0.5000 0.5000
Nd1 Nd 0.2661 0.2661 0.2016
Nd2 Nd 0.7339 0.7339 0.7984
Co1 Co 0.0000 0.0000 0.0000
# Uncorrected energy: -4.917 eV per atom
# Symmetry: R-3m, No. 166

Q: Among the records above, which one has the highest uncorrected energy?
A: Nd5CoAg4